Crystalline SrTaOs2 at its relaxed geometry. Source: the Alexandria database, functional PBE.

POSCAR file:
```
SrTaOs2
1.0
4.650 0.000 0.000
2.325 4.027 0.000
2.325 1.342 3.796
Os Sr Ta
2 1 1
direct
0.000 0.000 0.000
0.250 0.250 0.250
0.500 0.500 0.500
0.750 0.750 0.750
```

Calculated values
ΔH_f (0 K) = 913 meV per atom
D(E_F) = 2.35 states/eV/f.u.
SG = F-43m
Final energy = -8.086 eV/atom

=====

Crystalline SrTaOs at its relaxed geometry. Source: the Alexandria database, functional PBE.

POSCAR file:
```
SrTaOs
1.0
6.734 0.072 -0.030
4.987 4.525 0.030
-5.801 -2.449 2.386
Os Sr Ta
1 1 1
direct
0.038 0.038 0.000
0.343 0.343 0.000
0.619 0.619 0.000
```

Calculated values
ΔH_f (0 K) = 341 meV per atom
D(E_F) = 4.12 states/eV/f.u.
SG = Imm2
Final energy = -7.914 eV/atom
E above lowest polymorph = 0.0 meV/atom